Density functional theory data (PBEsol) for a relaxed K2MoS4 crystal.

a = 6.7290 Å, b = 9.3308 Å, c = 11.9750 Å
α = 90.00°, β = 90.00°, γ = 90.00°
Last column: nearest neighbours and their distance in Å.
Fractional positions:
S (0.4903, 0.6487, 0.8592)  1 Mo 2.17
S (0.5097, 0.3513, 0.1408)  1 Mo 2.17
S (0.0097, 0.6487, 0.8592)  1 Mo 2.17
S (0.2500, 0.2819, 0.8885)  1 Mo 2.18
S (0.7500, 0.9809, 0.8887)  1 Mo 2.20
S (0.2500, 0.7819, 0.6115)  1 Mo 2.18
S (0.7500, 0.7181, 0.1115)  1 Mo 2.18
S (0.9903, 0.8513, 0.3592)  1 Mo 2.17
S (0.2500, 0.0191, 0.1113)  1 Mo 2.20
S (0.5097, 0.8513, 0.3592)  1 Mo 2.17
S (0.9903, 0.3513, 0.1408)  1 Mo 2.17
S (0.7500, 0.4809, 0.6113)  1 Mo 2.20
S (0.0097, 0.1487, 0.6408)  1 Mo 2.17
S (0.2500, 0.5191, 0.3887)  1 Mo 2.20
S (0.7500, 0.2181, 0.3885)  1 Mo 2.18
S (0.4903, 0.1487, 0.6408)  1 Mo 2.17
K (0.7500, 0.8426, 0.6119)  8 S 3.37-3.56
K (0.2500, 0.9548, 0.8392)  9 S 3.11-3.43
K (0.7500, 0.3426, 0.8881)  8 S 3.37-3.56
K (0.7500, 0.0452, 0.1608)  9 S 3.11-3.43
K (0.2500, 0.1574, 0.3881)  8 S 3.37-3.56
K (0.7500, 0.5452, 0.3392)  9 S 3.11-3.43
K (0.2500, 0.6574, 0.1119)  8 S 3.37-3.56
K (0.2500, 0.4548, 0.6608)  9 S 3.11-3.43
Mo (0.7500, 0.7517, 0.9311)  4 S 2.17-2.20
Mo (0.7500, 0.2517, 0.5689)  4 S 2.17-2.20
Mo (0.2500, 0.2483, 0.0689)  4 S 2.17-2.20
Mo (0.2500, 0.7483, 0.4311)  4 S 2.17-2.20

Results
The calculation puts the uncorrected formation energy at -0.922 eV per atom. Its total energy is -152.1 eV per cell. The value obtained for the spin magnetization is 0.00 μB per cell.

Density functional theory data (PBEsol) for a relaxed RbSiAg3 crystal.

a = 4.9285 Å, b = 4.9285 Å, c = 4.9285 Å
α = 90.00°, β = 90.00°, γ = 90.00°
Last column: nearest neighbours and their distance in Å.
Fractional positions:
Ag (0.0000, 0.0000, 0.5000)  2 Si 2.46
Ag (0.5000, 0.0000, 0.0000)  2 Si 2.46
Ag (0.0000, 0.5000, 0.0000)  2 Si 2.46
Rb (0.5000, 0.5000, 0.5000)  12 Ag 3.48
Si (0.0000, 0.0000, 0.0000)  6 Ag 2.46

Results
The calculation puts the uncorrected formation energy at 0.105 eV per atom. Its total energy is -16.2 eV per cell. The value obtained for the spin magnetization is 0.00 μB per cell.

Density functional theory data (PBEsol) for a relaxed TlTc3C crystal.

a = 5.0492 Å, b = 5.0492 Å, c = 5.0492 Å
α = 90.00°, β = 90.00°, γ = 90.00°
Last column: nearest neighbours and their distance in Å.
Fractional positions:
Tc (0.0000, 0.5000, 0.0000)  2 Tl 2.52
Tc (0.5000, 0.0000, 0.0000)  2 Tl 2.52
Tc (0.0000, 0.0000, 0.5000)  2 Tl 2.52
Tl (0.0000, 0.0000, 0.0000)  6 Tc 2.52
C (0.5000, 0.5000, 0.5000)  12 Tc 3.57

Results
The energy of formation from the pure elements comes out at 4.11 eV/atom. Its total energy is -25.5 eV per cell. The value obtained for the spin magnetization is 8.69 μB per cell.

Density functional theory data (PBEsol) for a relaxed Pr4CdIr crystal.

a = 9.8528 Å, b = 9.8528 Å, c = 9.8528 Å
α = 60.00°, β = 60.00°, γ = 60.00°
Last column: nearest neighbours and their distance in Å.
Fractional positions:
Cd (0.9871, 0.6710, 0.6710)  3 Cd 3.11, 3 Pr 3.38
Cd (0.6710, 0.6710, 0.9871)  3 Cd 3.11, 3 Pr 3.38
Cd (0.6710, 0.6710, 0.6710)  3 Cd 3.11, 3 Pr 3.38
Cd (0.6710, 0.9871, 0.6710)  3 Cd 3.11, 3 Pr 3.38
Pr (0.9011, 0.9011, 0.9011)  3 Ir 2.89
Pr (0.6898, 0.3102, 0.3102)  2 Cd 3.38, 10 Pr 3.53-3.74, 2 Ir 3.53
Pr (0.4414, 0.0586, 0.0586)  2 Ir 2.88
Pr (0.4414, 0.4414, 0.0586)  2 Ir 2.88
Pr (0.0586, 0.4414, 0.4414)  2 Ir 2.88
Pr (0.6898, 0.3102, 0.6898)  2 Cd 3.38, 10 Pr 3.53-3.74, 2 Ir 3.53
Pr (0.0586, 0.0586, 0.4414)  2 Ir 2.88
Pr (0.6898, 0.6898, 0.3102)  2 Cd 3.38, 10 Pr 3.53-3.74, 2 Ir 3.53
Pr (0.2967, 0.9011, 0.9011)  3 Ir 2.89
Pr (0.4414, 0.0586, 0.4414)  2 Ir 2.88
Pr (0.3102, 0.3102, 0.6898)  2 Cd 3.38, 10 Pr 3.53-3.74, 2 Ir 3.53
Pr (0.3102, 0.6898, 0.6898)  2 Cd 3.38, 10 Pr 3.53-3.74, 2 Ir 3.53
Pr (0.3102, 0.6898, 0.3102)  2 Cd 3.38, 10 Pr 3.53-3.74, 2 Ir 3.53
Pr (0.9011, 0.2967, 0.9011)  3 Ir 2.89
Pr (0.9011, 0.9011, 0.2967)  3 Ir 2.89
Pr (0.0586, 0.4414, 0.0586)  2 Ir 2.88
Ir (0.1082, 0.1082, 0.6754)  6 Pr 2.88-2.89
Ir (0.6754, 0.1082, 0.1082)  6 Pr 2.88-2.89
Ir (0.1082, 0.1082, 0.1082)  6 Pr 2.88-2.89
Ir (0.1082, 0.6754, 0.1082)  6 Pr 2.88-2.89

Results
The energy of formation from the pure elements comes out at -0.41 eV/atom. Its total energy is -136.8 eV per cell. The value obtained for the spin magnetization is 0.00 μB per cell.

Density functional theory data (PBEsol) for a relaxed FeTc2Br crystal.

a = 2.8736 Å, b = 4.4676 Å, c = 4.4399 Å
α = 90.00°, β = 90.00°, γ = 90.00°
Last column: nearest neighbours and their distance in Å.
Fractional positions:
Tc (0.0000, 0.0000, 0.0000)  4 Br 2.64, 6 Tc 2.66-2.87
Tc (0.5000, 0.5000, 0.0000)  4 Fe 2.64, 6 Tc 2.66-2.87
Fe (0.0000, 0.5000, 0.5000)  4 Tc 2.64, 4 Br 2.66, 2 Fe 2.87
Br (0.5000, 0.0000, 0.5000)  4 Tc 2.64, 4 Fe 2.66, 2 Br 2.87

Results
The calculation puts the uncorrected formation energy at 0.861 eV per atom. Its total energy is -29.9 eV per cell. As for the polymorph energy (0 for the lowest one): 1.65 eV/f.u. The value obtained for the spin magnetization is 2.21 μB per cell.

Density functional theory data (PBEsol) for a relaxed BHCl2 crystal.

a = 3.8056 Å, b = 3.8056 Å, c = 6.3503 Å
α = 72.56°, β = 72.56°, γ = 60.00°
Last column: nearest neighbours and their distance in Å.
Fractional positions:
Cl (0.9131, 0.9131, 0.2608)  1 H 1.55
Cl (0.0869, 0.0869, 0.7392)  1 H 1.55
B (0.5000, 0.5000, 0.5000)  6 Cl 2.62
H (0.0000, 0.0000, 0.0000)  2 Cl 1.55

Results
Its total energy is -11.9 eV per cell. The value obtained for the spin magnetization is 0.00 μB per cell.

Density functional theory data (PBEsol) for a relaxed LaMn2Pt2 crystal.

a = 4.0576 Å, b = 4.0576 Å, c = 6.4752 Å
α = 108.26°, β = 108.26°, γ = 90.00°
Last column: nearest neighbours and their distance in Å.
Fractional positions:
Pt (0.6147, 0.6147, 0.2295)  4 Mn 2.57, 1 Pt 2.66
Pt (0.3853, 0.3853, 0.7705)  4 Mn 2.57, 1 Pt 2.66
La (0.0000, 0.0000, 0.0000)  8 Pt 3.16, 8 Mn 3.54
Mn (0.2500, 0.7500, 0.5000)  4 Pt 2.57, 4 Mn 2.87
Mn (0.7500, 0.2500, 0.5000)  4 Pt 2.57, 4 Mn 2.87

Results
The energy of formation from the pure elements comes out at -0.39 eV/atom. Its total energy is -40.8 eV per cell. The value obtained for the spin magnetization is 8.29 μB per cell.

Density functional theory data (PBEsol) for a relaxed Zn3As2O6 crystal.

a = 5.2042 Å, b = 8.2645 Å, c = 15.9601 Å
α = 97.24°, β = 90.00°, γ = 90.00°
Last column: nearest neighbours and their distance in Å.
Fractional positions:
O (0.5223, 0.3640, 0.8953)  1 As 1.80, 2 Zn 1.95
O (0.4944, 0.6172, 0.4514)  1 As 1.78, 2 Zn 1.97
O (0.6795, 0.5828, 0.2980)  1 As 1.80, 2 Zn 1.95-1.98
O (0.5631, 0.7745, 0.6452)  1 As 1.80, 2 Zn 1.94-1.97
O (0.1795, 0.4172, 0.2020)  1 As 1.80, 2 Zn 1.95-1.98
O (0.9952, 0.0762, 0.2929)  1 As 1.80, 2 Zn 1.95-2.00
O (0.2132, 0.7223, 0.3257)  1 As 1.80, 2 Zn 1.96-1.97
O (0.4369, 0.2255, 0.3548)  1 As 1.80, 2 Zn 1.94-1.97
O (0.0056, 0.6172, 0.9514)  1 As 1.78, 2 Zn 1.97
O (0.9944, 0.3828, 0.0486)  1 As 1.78, 2 Zn 1.97
O (0.3205, 0.4172, 0.7020)  1 As 1.80, 2 Zn 1.95-1.98
O (0.8205, 0.5828, 0.7980)  1 As 1.80, 2 Zn 1.95-1.98
O (0.0631, 0.2255, 0.8548)  1 As 1.80, 2 Zn 1.94-1.97
O (0.9369, 0.7745, 0.1452)  1 As 1.80, 2 Zn 1.94-1.97
O (0.2868, 0.7223, 0.8257)  1 As 1.80, 2 Zn 1.96-1.97
O (0.7132, 0.2777, 0.1743)  1 As 1.80, 2 Zn 1.96-1.97
O (0.7868, 0.2777, 0.6743)  1 As 1.80, 2 Zn 1.96-1.97
O (0.5048, 0.0762, 0.7929)  1 As 1.80, 2 Zn 1.95-2.00
O (0.9777, 0.3640, 0.3953)  1 As 1.80, 2 Zn 1.95
O (0.5056, 0.3828, 0.5486)  1 As 1.78, 2 Zn 1.97
O (0.4952, 0.9238, 0.2071)  1 As 1.80, 2 Zn 1.95-2.00
O (0.0048, 0.9238, 0.7071)  1 As 1.80, 2 Zn 1.95-2.00
O (0.4777, 0.6360, 0.1047)  1 As 1.80, 2 Zn 1.95
O (0.0223, 0.6360, 0.6047)  1 As 1.80, 2 Zn 1.95
As (0.9672, 0.7428, 0.8692)  3 O 1.78-1.80
As (0.0328, 0.2572, 0.1308)  3 O 1.78-1.80
As (0.4672, 0.2572, 0.6308)  3 O 1.78-1.80
As (0.6276, 0.8330, 0.1077)  3 O 1.80
As (0.1276, 0.1670, 0.3923)  3 O 1.80
As (0.8724, 0.8330, 0.6077)  3 O 1.80
As (0.3724, 0.1670, 0.8923)  3 O 1.80
As (0.5328, 0.7428, 0.3692)  3 O 1.78-1.80
Zn (0.8790, 0.3910, 0.9315)  4 O 1.95-1.97
Zn (0.6389, 0.1304, 0.2591)  4 O 1.94-2.00
Zn (0.0388, 0.5110, 0.3107)  4 O 1.95-1.98
Zn (0.1210, 0.6090, 0.0685)  4 O 1.95-1.97
Zn (0.5388, 0.4890, 0.1893)  4 O 1.95-1.98
Zn (0.3611, 0.8696, 0.7409)  4 O 1.94-2.00
Zn (0.9612, 0.4890, 0.6893)  4 O 1.95-1.98
Zn (0.1389, 0.8696, 0.2409)  4 O 1.94-2.00
Zn (0.8611, 0.1304, 0.7591)  4 O 1.94-2.00
Zn (0.6210, 0.3910, 0.4315)  4 O 1.95-1.97
Zn (0.3790, 0.6090, 0.5685)  4 O 1.95-1.97
Zn (0.4612, 0.5110, 0.8107)  4 O 1.95-1.98

Results
The calculation puts the uncorrected formation energy at -1.349 eV per atom. Its total energy is -245.2 eV per cell. As for the polymorph energy (0 for the lowest one): 0.06 eV/f.u. The value obtained for the spin magnetization is 0.00 μB per cell.

Density functional theory data (PBEsol) for a relaxed Cs3Cu2I5 crystal.

a = 10.0327 Å, b = 11.5114 Å, c = 14.1128 Å
α = 90.00°, β = 90.00°, γ = 90.00°
Last column: nearest neighbours and their distance in Å.
Fractional positions:
Cu (0.2661, 0.7500, 0.8749)  1 Cu 2.44, 3 I 2.48-2.54
Cu (0.2131, 0.2500, 0.5469)  1 Cu 2.44, 2 I 2.53-2.56
Cu (0.7131, 0.2500, 0.9531)  1 Cu 2.44, 2 I 2.53-2.56
Cu (0.2869, 0.7500, 0.0469)  1 Cu 2.44, 2 I 2.53-2.56
Cu (0.2339, 0.2500, 0.3749)  1 Cu 2.44, 3 I 2.48-2.54
Cu (0.7339, 0.2500, 0.1251)  1 Cu 2.44, 3 I 2.48-2.54
Cu (0.7869, 0.7500, 0.4531)  1 Cu 2.44, 2 I 2.53-2.56
Cu (0.7661, 0.7500, 0.6251)  1 Cu 2.44, 3 I 2.48-2.54
Cs (0.9113, 0.7500, 0.0493)  8 I 3.69-3.90, 1 Cu 3.77
Cs (0.5887, 0.2500, 0.5493)  8 I 3.69-3.90, 1 Cu 3.77
Cs (0.4468, 0.0120, 0.1763)  9 I 3.82-4.25, 2 Cu 3.87-4.04
Cs (0.0532, 0.9880, 0.6763)  9 I 3.82-4.25, 2 Cu 3.87-4.04
Cs (0.0532, 0.5120, 0.6763)  9 I 3.82-4.25, 2 Cu 3.87-4.04
Cs (0.4468, 0.4880, 0.1763)  9 I 3.82-4.25, 2 Cu 3.87-4.04
Cs (0.4113, 0.7500, 0.4507)  8 I 3.69-3.90, 1 Cu 3.77
Cs (0.9468, 0.0120, 0.3237)  9 I 3.82-4.25, 2 Cu 3.87-4.04
Cs (0.9468, 0.4880, 0.3237)  9 I 3.82-4.25, 2 Cu 3.87-4.04
Cs (0.5532, 0.9880, 0.8237)  9 I 3.82-4.25, 2 Cu 3.87-4.04
Cs (0.5532, 0.5120, 0.8237)  9 I 3.82-4.25, 2 Cu 3.87-4.04
Cs (0.0887, 0.2500, 0.9507)  8 I 3.69-3.90, 1 Cu 3.77
I (0.8402, 0.7500, 0.7928)  1 Cu 2.48
I (0.7952, 0.2500, 0.7837)  1 Cu 2.53
I (0.1938, 0.5603, 0.9516)  2 Cu 2.54-2.73
I (0.3062, 0.4397, 0.4516)  2 Cu 2.54-2.73
I (0.6938, 0.9397, 0.5484)  2 Cu 2.54-2.73
I (0.0372, 0.7500, 0.4882)  1 Cu 2.56
I (0.3402, 0.7500, 0.7072)  1 Cu 2.48
I (0.6598, 0.2500, 0.2928)  1 Cu 2.48
I (0.3062, 0.0603, 0.4516)  2 Cu 2.54-2.73
I (0.5372, 0.7500, 0.0118)  1 Cu 2.56
I (0.8062, 0.0603, 0.0484)  2 Cu 2.54-2.73
I (0.1938, 0.9397, 0.9516)  2 Cu 2.54-2.73
I (0.4628, 0.2500, 0.9882)  1 Cu 2.56
I (0.2048, 0.7500, 0.2163)  1 Cu 2.53
I (0.6938, 0.5603, 0.5484)  2 Cu 2.54-2.73
I (0.9628, 0.2500, 0.5118)  1 Cu 2.56
I (0.2952, 0.2500, 0.7163)  1 Cu 2.53
I (0.1598, 0.2500, 0.2072)  1 Cu 2.48
I (0.7048, 0.7500, 0.2837)  1 Cu 2.53
I (0.8062, 0.4397, 0.0484)  2 Cu 2.54-2.73

Results
The calculation puts the uncorrected formation energy at -0.985 eV per atom. Its total energy is -120.7 eV per cell. The value obtained for the spin magnetization is 0.00 μB per cell.

Density functional theory data (PBEsol) for a relaxed KGaRu3 crystal.

a = 4.6331 Å, b = 4.6331 Å, c = 4.6331 Å
α = 90.00°, β = 90.00°, γ = 90.00°
Last column: nearest neighbours and their distance in Å.
Fractional positions:
K (0.5000, 0.5000, 0.5000)  12 Ru 3.28
Ru (0.5000, 0.0000, 0.0000)  2 Ga 2.32
Ru (0.0000, 0.5000, 0.0000)  2 Ga 2.32
Ru (0.0000, 0.0000, 0.5000)  2 Ga 2.32
Ga (0.0000, 0.0000, 0.0000)  6 Ru 2.32

Results
The energy of formation from the pure elements comes out at 1.58 eV/atom. Its total energy is -27.1 eV per cell. The value obtained for the spin magnetization is 3.15 μB per cell.

Density functional theory data (PBEsol) for a relaxed Zn2CuP crystal.

a = 4.2920 Å, b = 4.2920 Å, c = 4.2920 Å
α = 60.00°, β = 60.00°, γ = 60.00°
Last column: nearest neighbours and their distance in Å.
Fractional positions:
Cu (0.5000, 0.5000, 0.5000)  4 P 2.63, 4 Zn 2.63
P (0.2500, 0.2500, 0.2500)  4 Zn 2.63, 4 Cu 2.63
Zn (0.0000, 0.0000, 0.0000)  4 Zn 2.63, 4 P 2.63
Zn (0.7500, 0.7500, 0.7500)  4 Cu 2.63, 4 Zn 2.63

Results
The energy of formation from the pure elements comes out at 0.23 eV/atom. Its total energy is -12.4 eV per cell. The value obtained for the spin magnetization is 0.00 μB per cell.

Density functional theory data (PBEsol) for a relaxed CsNa2Te2 crystal.

a = 3.5598 Å, b = 9.3789 Å, c = 9.3789 Å
α = 90.00°, β = 90.00°, γ = 90.00°
Last column: nearest neighbours and their distance in Å.
Fractional positions:
Na (0.0000, 0.8775, 0.6225)  3 Na 3.25-3.56, 6 Te 3.27-3.31
Na (0.0000, 0.1225, 0.3775)  3 Na 3.25-3.56, 6 Te 3.27-3.31
Na (0.0000, 0.3775, 0.8775)  3 Na 3.25-3.56, 6 Te 3.27-3.31
Na (0.0000, 0.6225, 0.1225)  3 Na 3.25-3.56, 6 Te 3.27-3.31
Cs (0.0000, 0.0000, 0.0000)  2 Cs 3.56, 4 Na 3.72, 8 Te 3.91
Cs (0.0000, 0.5000, 0.5000)  2 Cs 3.56, 4 Na 3.72, 8 Te 3.91
Te (0.5000, 0.8290, 0.3290)  6 Na 3.27-3.31, 2 Te 3.56
Te (0.5000, 0.6710, 0.8290)  6 Na 3.27-3.31, 2 Te 3.56
Te (0.5000, 0.1710, 0.6710)  6 Na 3.27-3.31, 2 Te 3.56
Te (0.5000, 0.3290, 0.1710)  6 Na 3.27-3.31, 2 Te 3.56

Results
The calculation puts the uncorrected formation energy at -0.841 eV per atom. Its total energy is -30.0 eV per cell. The value obtained for the spin magnetization is 0.00 μB per cell.